Below is RbY2CdI after structural relaxation, with properties calculated at the PBE-GGA level.

The calculation puts the mass density at 3.7 g/cm3. The total energy comes out at -2.111 eV/atom.

The structure belongs to space group P4/mmm (No. 123); the cell edges are 6.092, 6.092 and 6.015 Å and the angles 90.00°, 90.00° and 90.00°. Symmetry generates all atoms from Rb at (0.000, 0.000, 0.000), Y at (0.000, 0.500, 0.000), Cd at (0.000, 0.000, 0.500) and I at (0.500, 0.500, 0.500).

---

Below is Rb2ZnCdI6 after structural relaxation, with properties calculated at the PBE-GGA level.

The calculation puts the mass density at 4.5 g/cm3. Its polymorph energy (0 for the lowest one) is 84 meV/atom.

The structure belongs to space group Fm-3m (No. 225); the cell edges are 11.784, 11.784 and 11.784 Å and the angles 90.00°, 90.00° and 90.00°. Symmetry generates all atoms from Rb at (0.250, 0.250, 0.250), Zn at (0.000, 0.000, 0.000), Cd at (0.000, 0.000, 0.500) and I at (0.000, 0.000, 0.244).